# 1
A plane-wave DFT calculation with PBE with a Hubbard U was carried out for a relaxed Ba2Mn3Tl2Zn2O10 crystal.

abc: 34.6024 4.0914 4.0898
angles: 90.00 96.63 90.00
Space group Cm (No. 8)
Symmetry-distinct sites (fractional):
Ba 0.0000 0.0000 0.0000 [2 per cell]
Ba 0.2153 0.5000 0.7255 [2 per cell]
Mn 0.2646 0.0000 0.2748 [2 per cell]
Mn 0.3319 0.0000 0.8397 [2 per cell]
Mn 0.4376 0.0000 0.4426 [2 per cell]
Tl 0.0729 0.5000 0.5389 [2 per cell]
Tl 0.1387 0.0000 0.0876 [2 per cell]
Zn 0.3268 0.5000 0.3346 [2 per cell]
Zn 0.4060 0.5000 0.9120 [2 per cell]
O 0.0790 0.0000 0.1950 [2 per cell]
O 0.1373 0.5000 0.8109 [2 per cell]
O 0.2009 0.0000 0.2292 [2 per cell]
O 0.2684 0.5000 0.2763 [2 per cell]
O 0.2698 0.0000 0.7798 [2 per cell]
O 0.3337 0.0000 0.3415 [2 per cell]
O 0.3486 0.5000 0.8557 [2 per cell]
O 0.4274 0.0000 0.9327 [2 per cell]
O 0.4296 0.5000 0.4341 [2 per cell]
O 0.4977 0.0000 0.5058 [2 per cell]

***

# 2
A plane-wave DFT calculation with PBE with a Hubbard U was carried out for a relaxed Ba3TmMn2O9 crystal.

abc: 5.7889 5.7889 7.1294
angles: 90.00 90.00 120.00
Space group P-3m1 (No. 164)
Symmetry-distinct sites (fractional):
Ba 0.0000 0.0000 0.0000 [1 per cell]
Ba 0.3333 0.6667 0.6768 [2 per cell]
Tm 0.0000 0.0000 0.5000 [1 per cell]
Mn 0.3333 0.6667 0.1669 [2 per cell]
O 0.0000 0.5000 0.0000 [3 per cell]
O 0.1773 0.3546 0.3177 [6 per cell]

***

# 3
A plane-wave DFT calculation with PBE with a Hubbard U was carried out for a relaxed Ba3TmMn2O6 crystal.

abc: 6.1551 6.1551 7.0617
angles: 90.00 90.00 120.00
Space group P-3m1 (No. 164)
Symmetry-distinct sites (fractional):
Ba 0.0000 0.0000 0.0000 [1 per cell]
Ba 0.3333 0.6667 0.6327 [2 per cell]
Tm 0.0000 0.0000 0.5000 [1 per cell]
Mn 0.3333 0.6667 0.1812 [2 per cell]
O 0.1665 0.3331 0.3102 [6 per cell]

***

no.,total DFT energy (no corrections) (Ry per atom)
1,-0.433
2,-0.510
3,-0.504